No. 1
Entry from Alexandria via LeMat-Bulk: a relaxed structure of ScReH3 (PBE).

a = 3.508 Å, b = 3.508 Å, c = 3.508 Å
α = 90.00°, β = 90.00°, γ = 90.00°
Positions (direct):
Re  0.500  0.500  0.500
H  0.000  0.500  0.000
H  0.500  0.000  0.000
H  0.000  0.000  0.500
Sc  0.000  0.000  0.000

* calculated volume: 8.63 Å³ per atom
* E_tot: -5.21 eV/atom
* SG: Pm-3m, No. 221
* total moment: 0.00 Bohr magnetons per cell

=====

No. 2
Entry from Alexandria via LeMat-Bulk: a relaxed structure of Nd3BiTeN (PBE).

a = 4.333 Å, b = 9.435 Å, c = 9.584 Å
α = 96.55°, β = 90.00°, γ = 90.00°
Positions (direct):
Nd  0.750  0.146  0.501
Nd  0.250  0.610  0.858
Nd  0.750  0.893  0.170
Nd  0.250  0.854  0.499
Nd  0.750  0.390  0.142
Nd  0.250  0.107  0.830
N  0.250  0.087  0.592
N  0.750  0.913  0.408
Te  0.250  0.639  0.187
Te  0.750  0.361  0.813
Bi  0.750  0.842  0.800
Bi  0.250  0.158  0.200

* calculated volume: 32.44 Å³ per atom
* E_tot: -6.11 eV/atom
* SG: P2_1/m, No. 11
* total moment: 0.00 Bohr magnetons per cell

=====

No. 3
Entry from Alexandria via LeMat-Bulk: a relaxed structure of TbDyHgRh (PBE).

a = 3.507 Å, b = 3.507 Å, c = 7.522 Å
α = 90.00°, β = 90.00°, γ = 90.00°
Positions (direct):
Tb  0.000  0.000  0.827
Rh  0.500  0.500  0.605
Dy  0.000  0.000  0.387
Hg  0.500  0.500  0.109

* calculated volume: 23.12 Å³ per atom
* energy relative to the elements: -688.4 meV per atom
* E_tot: -4.91 eV/atom
* SG: P4mm, No. 99
* total moment: 0.00 Bohr magnetons per cell

=====

Q: Look up the total moment of the second one.
A: 0.00 Bohr magnetons per cell

=====

Q: What is the formula in the third record?
A: TbDyHgRh

=====

What did the first record say?
Entry from Alexandria via LeMat-Bulk: a relaxed structure of ScReH3 (PBE).

a = 3.508 Å, b = 3.508 Å, c = 3.508 Å
α = 90.00°, β = 90.00°, γ = 90.00°
Positions (direct):
Re  0.500  0.500  0.500
H  0.000  0.500  0.000
H  0.500  0.000  0.000
H  0.000  0.000  0.500
Sc  0.000  0.000  0.000

* calculated volume: 8.63 Å³ per atom
* E_tot: -5.21 eV/atom
* SG: Pm-3m, No. 221
* total moment: 0.00 Bohr magnetons per cell